A plane-wave DFT calculation with PBE was carried out for Li2ReP after structural relaxation.

a b c (Å): 2.7215 4.4230 4.6542
angles (deg): 90.00 106.18 90.00
Last column: nearest neighbours and their distance in Å.
Positions (direct):
Li1 0.1056 0.0000 0.2512  1 Li 2.25
Li2 0.8944 0.0000 0.7488  1 Li 2.25
Re1 0.5000 0.5000 0.0000  2 P 2.33
P1 0.5000 0.5000 0.5000  2 Re 2.33, 4 Li 2.59

## Properties
Formation energy (eV per formula unit): -0.13
DFT total energy (eV/atom): -5.45

---

A plane-wave DFT calculation with PBE was carried out for Sm4Dy8Er3 after structural relaxation.

a b c (Å): 9.2482 9.2482 6.7385
angles (deg): 111.24 111.24 87.44
Last column: nearest neighbours and their distance in Å.
Positions (direct):
Sm1 0.0000 0.0000 0.0000  6 Dy 3.25-3.51, 2 Sm 3.37
Sm2 0.0000 0.0000 0.5000  2 Sm 3.37, 4 Dy 3.51-3.62
Sm3 0.0000 0.5000 0.0000  4 Dy 3.21-3.34, 2 Er 3.37
Sm4 0.5000 0.0000 0.0000  4 Dy 3.21-3.34, 2 Er 3.37
Dy1 0.2546 0.7454 0.0000  3 Er 3.14-3.35, 3 Sm 3.25-3.34
Dy2 0.2661 0.2661 0.5135  3 Er 3.20, 2 Dy 3.22-3.52, 2 Sm 3.51
Dy3 0.2708 0.2708 0.0399  1 Er 3.21, 3 Sm 3.21-3.49, 4 Dy 3.22-3.56
Dy4 0.3607 0.6393 0.5000  7 Dy 3.56-3.64, 4 Er 3.63-3.81, 2 Sm 3.64
Dy5 0.6393 0.3607 0.5000  7 Dy 3.56-3.64, 4 Er 3.63-3.81, 2 Sm 3.64
Dy6 0.7292 0.7292 0.9601  1 Er 3.21, 3 Sm 3.21-3.49, 4 Dy 3.22-3.56
Dy7 0.7339 0.7339 0.4865  3 Er 3.20, 2 Dy 3.22-3.52, 2 Sm 3.51
Dy8 0.7454 0.2546 0.0000  3 Er 3.14-3.35, 3 Sm 3.25-3.34
Er1 0.0000 0.5000 0.5000  4 Dy 3.20-3.35, 2 Sm 3.37
Er2 0.5000 0.0000 0.5000  4 Dy 3.20-3.35, 2 Sm 3.37
Er3 0.5000 0.5000 0.0000  6 Dy 3.14-3.21

## Properties
Formation energy (eV per formula unit): 5.69
DFT total energy (eV/atom): -4.25

---

A plane-wave DFT calculation with PBE was carried out for TaPt2Au after structural relaxation.

a b c (Å): 2.8692 2.8692 8.0903
angles (deg): 90.00 90.00 90.00
Last column: nearest neighbours and their distance in Å.
Positions (direct):
Ta1 0.0000 0.0000 0.0000  4 Pt 2.78, 4 Ta 2.87, 4 Au 2.88
Pt1 0.0000 0.0000 0.5115  8 Pt 2.87-2.89, 4 Au 2.91
Pt2 0.5000 0.5000 0.7653  4 Ta 2.78, 8 Pt 2.87-2.89
Au1 0.5000 0.5000 0.2532  4 Au 2.87, 4 Ta 2.88, 4 Pt 2.91

## Properties
Formation energy (eV per formula unit): -1.07
DFT total energy (eV/atom): -7.07

---

A plane-wave DFT calculation with PBE was carried out for K2SI after structural relaxation.

a b c (Å): 7.2632 7.2632 7.2632
angles (deg): 102.53 102.53 124.49
Last column: nearest neighbours and their distance in Å.
Positions (direct):
K1 0.0786 0.6250 0.9536  2 S 3.05
K2 0.3750 0.3286 0.4536  2 S 3.05
K3 0.6714 0.1250 0.0464  2 S 3.05
K4 0.8750 0.9214 0.5464  2 S 3.05
S1 0.0000 0.0000 0.0000  4 K 3.05, 2 I 3.38
S2 0.7500 0.2500 0.5000  4 K 3.05, 2 I 3.38
I1 0.2500 0.7500 0.5000  2 S 3.38, 4 K 3.62
I2 0.5000 0.5000 0.0000  2 S 3.38, 4 K 3.62

## Properties
Raw formation energy (kJ/mol of atoms): -82.7
DFT total energy (eV/atom): -2.83

---

A plane-wave DFT calculation with PBE was carried out for SbBrCl2 after structural relaxation.

a b c (Å): 9.5677 9.5677 9.5677
angles (deg): 148.01 148.01 45.87
Last column: nearest neighbours and their distance in Å.
Positions (direct):
Sb1 0.0000 0.0000 0.0000  4 Cl 2.69
Sb2 0.7500 0.2500 0.5000  4 Cl 2.69
Br1 0.2500 0.7500 0.5000  4 Cl 3.15
Br2 0.5000 0.5000 0.0000  4 Cl 3.15
Cl1 0.0274 0.6250 0.9024  2 Sb 2.69
Cl2 0.3750 0.2774 0.4024  2 Sb 2.69
Cl3 0.7226 0.1250 0.0976  2 Sb 2.69
Cl4 0.8750 0.9726 0.5976  2 Sb 2.69

## Properties
Raw formation energy (kJ/mol of atoms): -11.0
DFT total energy (eV/atom): -2.49

---

A plane-wave DFT calculation with PBE was carried out for RbNaCa2Pt after structural relaxation.

a b c (Å): 5.6195 5.6195 6.6477
angles (deg): 90.00 90.00 90.00
Last column: nearest neighbours and their distance in Å.
Positions (direct):
Rb1 0.0000 0.0000 0.0000  2 Pt 3.32
Na1 0.5000 0.5000 0.0000  4 Rb 3.97, 8 Ca 4.35
Ca1 0.0000 0.5000 0.5000  2 Pt 2.81
Ca2 0.5000 0.0000 0.5000  2 Pt 2.81
Pt1 0.0000 0.0000 0.5000  4 Ca 2.81

## Properties
Formation energy (eV per formula unit): -1.13
DFT total energy (eV/atom): -2.69

---

A plane-wave DFT calculation with PBE was carried out for AlRe2Si after structural relaxation.

a b c (Å): 2.8383 3.8218 5.4209
angles (deg): 90.00 100.37 90.00
Last column: nearest neighbours and their distance in Å.
Positions (direct):
Al1 0.0000 0.0000 0.0000  8 Re 2.70-2.84, 2 Si 2.71, 2 Al 2.84
Re1 0.3587 0.5000 0.7346  2 Si 2.42, 2 Al 2.70
Re2 0.6413 0.5000 0.2654  2 Si 2.42, 2 Al 2.70
Si1 0.0000 0.0000 0.5000  4 Re 2.42

## Properties
Raw formation energy (kJ/mol of atoms): -3.2
DFT total energy (eV/atom): -8.55

---

A plane-wave DFT calculation with PBE was carried out for MgCuI4 after structural relaxation.

a b c (Å): 7.8256 7.8256 9.9035
angles (deg): 90.00 90.00 90.00
Last column: nearest neighbours and their distance in Å.
Positions (direct):
Mg1 0.0000 0.5000 0.0000  4 I 2.78
Mg2 0.5000 0.0000 0.5000  4 I 2.78
Cu1 0.0000 0.0000 0.0000  4 I 2.65
Cu2 0.0000 0.0000 0.5000  4 I 2.65
I1 0.2383 0.2397 0.5000  1 Cu 2.65, 1 Mg 2.78
I2 0.2383 0.7603 0.5000  1 Cu 2.65, 1 Mg 2.78
I3 0.2397 0.2383 0.0000  1 Cu 2.65, 1 Mg 2.78
I4 0.2397 0.7617 0.0000  1 Cu 2.65, 1 Mg 2.78
I5 0.7603 0.2383 0.0000  1 Cu 2.65, 1 Mg 2.78
I6 0.7603 0.7617 0.0000  1 Cu 2.65, 1 Mg 2.78
I7 0.7617 0.2397 0.5000  1 Cu 2.65, 1 Mg 2.78
I8 0.7617 0.7603 0.5000  1 Cu 2.65, 1 Mg 2.78

## Properties
Raw formation energy (kJ/mol of atoms): -43.7
DFT total energy (eV/atom): -2.44

---

A plane-wave DFT calculation with PBE was carried out for CuReSbTe2 after structural relaxation.

a b c (Å): 5.2410 5.2410 5.1911
angles (deg): 90.00 90.00 90.00
Last column: nearest neighbours and their distance in Å.
Positions (direct):
Cu1 0.0000 0.0000 0.0000  8 Te 3.69, 4 Sb 3.71
Re1 0.5000 0.5000 0.5000  2 Sb 2.60, 4 Te 2.62
Sb1 0.5000 0.5000 0.0000  2 Re 2.60
Te1 0.0000 0.5000 0.5000  2 Re 2.62
Te2 0.5000 0.0000 0.5000  2 Re 2.62

## Properties
Raw formation energy (kJ/mol of atoms): 95.1
DFT total energy (eV/atom): -4.40

---

A plane-wave DFT calculation with PBE was carried out for Ho3Tm8Sc3 after structural relaxation.

a b c (Å): 9.3596 9.3596 9.3596
angles (deg): 146.14 112.74 77.47
Last column: nearest neighbours and their distance in Å.
Positions (direct):
Ho1 0.0000 0.0000 0.0000  4 Sc 3.48, 4 Ho 3.76, 4 Tm 3.84
Ho2 0.1770 0.6770 0.5000  2 Sc 3.36, 8 Tm 3.52-3.62, 2 Ho 3.76
Ho3 0.8230 0.3230 0.5000  2 Sc 3.36, 8 Tm 3.52-3.62, 2 Ho 3.76
Tm1 0.1215 0.2803 0.8411  6 Tm 3.21-3.43, 1 Sc 3.49, 3 Ho 3.52-3.59
Tm2 0.2384 0.8975 0.3409  5 Tm 2.99-3.30
Tm3 0.4392 0.2803 0.1589  6 Tm 3.21-3.43, 1 Sc 3.49, 3 Ho 3.52-3.59
Tm4 0.4434 0.1025 0.3409  5 Tm 2.99-3.30
Tm5 0.5566 0.8975 0.6591  5 Tm 2.99-3.30
Tm6 0.5608 0.7197 0.8411  6 Tm 3.21-3.43, 1 Sc 3.49, 3 Ho 3.52-3.59
Tm7 0.7616 0.1025 0.6591  5 Tm 2.99-3.30
Tm8 0.8785 0.7197 0.1589  6 Tm 3.21-3.43, 1 Sc 3.49, 3 Ho 3.52-3.59
Sc1 0.2079 0.5000 0.7079  1 Sc 3.03, 2 Ho 3.36
Sc2 0.5000 0.5000 0.0000  2 Sc 3.03
Sc3 0.7921 0.5000 0.2921  1 Sc 3.03, 2 Ho 3.36

## Properties
Formation energy (eV per formula unit): 1.80
DFT total energy (eV/atom): -4.76

---

A plane-wave DFT calculation with PBE was carried out for Ba6AgIrPd2 after structural relaxation.

a b c (Å): 8.0436 8.0461 8.6372
angles (deg): 62.29 62.27 60.07
Last column: nearest neighbours and their distance in Å.
Positions (direct):
Ba1 0.0000 0.0000 0.0000  1 Ir 3.05, 2 Pd 3.18-3.36
Ba2 0.1172 0.5389 0.5266  1 Ir 3.15, 2 Pd 3.21-3.33, 1 Ag 3.35
Ba3 0.3035 0.3465 0.9999  1 Ir 3.05, 2 Pd 3.18-3.37
Ba4 0.4670 0.8133 0.5264  1 Ir 3.15, 2 Pd 3.21-3.33, 1 Ag 3.35
Ba5 0.6494 0.6968 0.9999  1 Ir 3.05, 2 Pd 3.18-3.37
Ba6 0.8434 0.1626 0.5265  1 Ir 3.15, 2 Pd 3.21-3.33, 1 Ag 3.35
Ag1 0.5510 0.2472 0.3004  1 Pd 2.98
Ir1 0.0553 0.7517 0.7874  6 Ba 3.05-3.15, 1 Pd 3.34
Pd1 0.4146 0.1111 0.7093  1 Ag 2.98, 3 Ba 3.21
Pd2 0.9026 0.5990 0.2455  6 Ba 3.18-3.33, 1 Ir 3.34

## Properties
Formation energy (eV per formula unit): -2.82
DFT total energy (eV/atom): -3.65

---

What is the DFT total energy in the ninth record? -4.40 eV/atom